1.
A relaxed structure of Pr2ScIn. Source: Alexandria via LeMat-Bulk, functional GGA-PBE. Values from VASP.

Cell and atoms, written as Quantum ESPRESSO input:
```
&SYSTEM
  ibrav = 0, nat = 4, ntyp = 3
/
ATOMIC_SPECIES
Pr 140.91 Pr.upf
Sc 44.96 Sc.upf
In 114.82 In.upf
ATOMIC_POSITIONS angstrom
Pr 1.949 1.949 1.949
Pr 5.846 5.846 5.846
Sc 0.000 0.000 0.000
In 3.897 3.897 3.897
CELL_PARAMETERS angstrom
0.000 3.897 3.897
3.897 0.000 3.897
3.897 3.897 0.000
```

Properties
As for the energy of formation from the pure elements: -0.16 eV per atom. The total energy comes out at -19.3 eV per cell. The relative energy among the computed polymorphs comes out at 0.35 eV/f.u. The space group is Fm-3m (225).

---

2.
A relaxed structure of Pr7ScIn4. Source: Alexandria via LeMat-Bulk, functional GGA-PBE. Values from VASP.

Cell and atoms, written as Quantum ESPRESSO input:
```
&SYSTEM
  ibrav = 0, nat = 12, ntyp = 3
/
ATOMIC_SPECIES
Pr 140.91 Pr.upf
Sc 44.96 Sc.upf
In 114.82 In.upf
ATOMIC_POSITIONS angstrom
Pr 0.000 0.000 0.000
Pr -0.531 0.000 5.985
Pr 3.749 0.000 1.036
Pr 2.938 0.000 5.412
Pr 6.104 0.000 3.497
Pr 5.293 0.000 7.873
Pr 9.574 0.000 2.924
Sc 7.447 0.000 0.000
In -3.544 0.000 6.648
In 0.717 0.000 2.991
In 8.326 0.000 5.918
In 12.586 0.000 2.261
CELL_PARAMETERS angstrom
7.447 -2.916 0.000
7.447 2.916 0.000
-5.851 0.000 8.909
```

Properties
As for the energy of formation from the pure elements: -0.14 eV per atom. The total energy comes out at -52.4 eV per cell. The space group is C2/m (12).

---

3.
A relaxed structure of Pr3Sc2In7. Source: Alexandria via LeMat-Bulk, functional GGA-PBE. Values from VASP.

Cell and atoms, written as Quantum ESPRESSO input:
```
&SYSTEM
  ibrav = 0, nat = 12, ntyp = 3
/
ATOMIC_SPECIES
Pr 140.91 Pr.upf
Sc 44.96 Sc.upf
In 114.82 In.upf
ATOMIC_POSITIONS angstrom
Pr 0.000 0.000 0.000
Pr 2.395 10.040 0.000
Pr 2.395 -10.040 0.000
Sc 2.395 4.568 2.460
Sc 2.395 -4.568 2.460
In 2.395 12.216 2.460
In 2.395 7.964 2.460
In 2.395 2.388 0.000
In 2.395 0.000 2.460
In 2.395 -2.388 0.000
In 2.395 -7.964 2.460
In 2.395 -12.216 2.460
CELL_PARAMETERS angstrom
2.395 -14.589 0.000
2.395 14.589 0.000
0.000 0.000 4.919
```

Properties
As for the energy of formation from the pure elements: -0.24 eV per atom. The total energy comes out at -49.0 eV per cell. The space group is Cmmm (65).

---

4.
A relaxed structure of PrScIn. Source: Alexandria via LeMat-Bulk, functional GGA-PBE. Values from VASP.

Cell and atoms, written as Quantum ESPRESSO input:
```
&SYSTEM
  ibrav = 0, nat = 6, ntyp = 3
/
ATOMIC_SPECIES
Pr 140.91 Pr.upf
Sc 44.96 Sc.upf
In 114.82 In.upf
ATOMIC_POSITIONS angstrom
Pr 1.171 1.171 1.346
Pr 3.514 3.514 6.698
Sc 1.171 1.171 5.865
Sc 3.514 3.514 2.178
In 1.171 3.514 4.022
In 3.514 1.171 4.022
CELL_PARAMETERS angstrom
4.685 0.000 0.000
0.000 4.685 0.000
0.000 0.000 8.044
```

Properties
As for the energy of formation from the pure elements: -0.12 eV per atom. The total energy comes out at -28.4 eV per cell. The relative energy among the computed polymorphs comes out at 0.63 eV/f.u. The space group is P4/nmm (129).

---

5.
A relaxed structure of Pr4ScIn5. Source: Alexandria via LeMat-Bulk, functional GGA-PBE. Values from VASP.

Cell and atoms, written as Quantum ESPRESSO input:
```
&SYSTEM
  ibrav = 0, nat = 10, ntyp = 3
/
ATOMIC_SPECIES
Pr 140.91 Pr.upf
Sc 44.96 Sc.upf
In 114.82 In.upf
ATOMIC_POSITIONS angstrom
Pr 0.000 0.000 2.082
Pr 0.000 0.000 6.240
Pr 0.000 0.000 13.697
Pr 0.000 0.000 17.855
Sc 0.000 0.000 9.968
In 1.882 1.882 0.000
In 1.882 1.882 4.165
In 1.882 1.882 8.339
In 1.882 1.882 11.598
In 1.882 1.882 15.771
CELL_PARAMETERS angstrom
3.764 0.000 0.000
0.000 3.764 0.000
0.000 0.000 19.936
```

Properties
As for the energy of formation from the pure elements: -0.48 eV per atom. The total energy comes out at -43.9 eV per cell. The space group is P4/mmm (123).

---

6.
A relaxed structure of PrScInSn. Source: Alexandria via LeMat-Bulk, functional GGA-PBE. Values from VASP.

Cell and atoms, written as Quantum ESPRESSO input:
```
&SYSTEM
  ibrav = 0, nat = 4, ntyp = 4
/
ATOMIC_SPECIES
Pr 140.91 Pr.upf
Sc 44.96 Sc.upf
In 114.82 In.upf
Sn 118.71 Sn.upf
ATOMIC_POSITIONS angstrom
Pr 0.000 0.000 0.000
Sc 3.755 3.755 3.755
In 5.633 5.633 5.633
Sn 1.878 1.878 1.878
CELL_PARAMETERS angstrom
0.000 3.755 3.755
3.755 0.000 3.755
3.755 3.755 0.000
```

Properties
As for the energy of formation from the pure elements: -0.45 eV per atom. The total energy comes out at -19.6 eV per cell. The space group is F-43m (216).

---

7.
A relaxed structure of TbPrScIn. Source: Alexandria via LeMat-Bulk, functional GGA-PBE. Values from VASP.

Cell and atoms, written as Quantum ESPRESSO input:
```
&SYSTEM
  ibrav = 0, nat = 4, ntyp = 4
/
ATOMIC_SPECIES
Tb 158.93 Tb.upf
Pr 140.91 Pr.upf
Sc 44.96 Sc.upf
In 114.82 In.upf
ATOMIC_POSITIONS angstrom
Tb 0.000 0.000 0.000
Pr 3.843 3.843 3.843
Sc 5.764 5.764 5.764
In 1.921 1.921 1.921
CELL_PARAMETERS angstrom
0.000 3.843 3.843
3.843 0.000 3.843
3.843 3.843 0.000
```

Properties
As for the energy of formation from the pure elements: -0.16 eV per atom. The total energy comes out at -19.1 eV per cell. The relative energy among the computed polymorphs comes out at 0.00 eV/f.u. The space group is F-43m (216).

---

8.
A relaxed structure of TbPrSc2In4. Source: Alexandria via LeMat-Bulk, functional GGA-PBE. Values from VASP.

Cell and atoms, written as Quantum ESPRESSO input:
```
&SYSTEM
  ibrav = 0, nat = 8, ntyp = 4
/
ATOMIC_SPECIES
Tb 158.93 Tb.upf
Pr 140.91 Pr.upf
Sc 44.96 Sc.upf
In 114.82 In.upf
ATOMIC_POSITIONS angstrom
Tb 0.000 0.000 0.000
Pr 0.000 0.000 12.872
Sc 0.000 0.000 6.445
Sc 0.000 0.000 19.300
In 0.000 0.000 3.173
In 0.000 0.000 9.612
In 0.000 0.000 16.132
In 0.000 0.000 22.572
CELL_PARAMETERS angstrom
2.620 1.513 8.582
-2.620 1.513 8.582
0.000 -3.026 8.582
```

Properties
As for the energy of formation from the pure elements: -0.43 eV per atom. The total energy comes out at -36.4 eV per cell. The space group is R-3m (166).

---

9.
A relaxed structure of TbPrScIn. Source: Alexandria via LeMat-Bulk, functional GGA-PBE. Values from VASP.

Cell and atoms, written as Quantum ESPRESSO input:
```
&SYSTEM
  ibrav = 0, nat = 4, ntyp = 4
/
ATOMIC_SPECIES
Tb 158.93 Tb.upf
Pr 140.91 Pr.upf
Sc 44.96 Sc.upf
In 114.82 In.upf
ATOMIC_POSITIONS angstrom
Tb 0.000 0.000 0.000
Pr 5.720 5.720 5.720
Sc 3.814 3.814 3.814
In 1.907 1.907 1.907
CELL_PARAMETERS angstrom
0.000 3.814 3.814
3.814 0.000 3.814
3.814 3.814 0.000
```

Properties
As for the energy of formation from the pure elements: -0.09 eV per atom. The total energy comes out at -18.8 eV per cell. The relative energy among the computed polymorphs comes out at 0.30 eV/f.u. The space group is F-43m (216).

---

10.
A relaxed structure of PrSc2In3Te6. Source: Alexandria via LeMat-Bulk, functional GGA-PBE. Values from VASP.

Cell and atoms, written as Quantum ESPRESSO input:
```
&SYSTEM
  ibrav = 0, nat = 12, ntyp = 4
/
ATOMIC_SPECIES
Pr 140.91 Pr.upf
Sc 44.96 Sc.upf
In 114.82 In.upf
Te 127.60 Te.upf
ATOMIC_POSITIONS angstrom
Pr 0.000 0.000 0.000
Sc 3.768 2.183 0.000
Sc 3.768 -2.183 0.000
In 2.514 4.441 4.013
In 2.514 0.000 4.013
In 2.514 -4.441 4.013
Te 1.337 2.305 1.750
Te 0.168 0.000 6.339
Te 1.337 -2.305 1.750
Te 3.692 2.305 6.277
Te 4.860 0.000 1.688
Te 3.692 -2.305 6.277
CELL_PARAMETERS angstrom
3.768 -6.506 0.000
3.768 6.506 0.000
-2.508 0.000 8.027
```

Properties
The total energy comes out at -55.2 eV per cell. The uncorrected formation energy is -85.6 kJ/mol of atoms. The space group is C2/m (12).

---

11.
A relaxed structure of PrThScIn. Source: Alexandria via LeMat-Bulk, functional GGA-PBE. Values from VASP.

Cell and atoms, written as Quantum ESPRESSO input:
```
&SYSTEM
  ibrav = 0, nat = 4, ntyp = 4
/
ATOMIC_SPECIES
Pr 140.91 Pr.upf
Th 232.04 Th.upf
Sc 44.96 Sc.upf
In 114.82 In.upf
ATOMIC_POSITIONS angstrom
Pr 0.000 0.000 0.000
Th 1.919 1.919 1.919
Sc 5.756 5.756 5.756
In 3.837 3.837 3.837
CELL_PARAMETERS angstrom
0.000 3.837 3.837
3.837 0.000 3.837
3.837 3.837 0.000
```

Properties
As for the energy of formation from the pure elements: -0.02 eV per atom. The total energy comes out at -21.3 eV per cell. The space group is F-43m (216).

---

12.
A relaxed structure of PrTm2ScIn4. Source: Alexandria via LeMat-Bulk, functional GGA-PBE. Values from VASP.

Cell and atoms, written as Quantum ESPRESSO input:
```
&SYSTEM
  ibrav = 0, nat = 8, ntyp = 4
/
ATOMIC_SPECIES
Pr 140.91 Pr.upf
Tm 168.93 Tm.upf
Sc 44.96 Sc.upf
In 114.82 In.upf
ATOMIC_POSITIONS angstrom
Pr 0.000 0.000 0.000
Tm 0.000 0.000 6.478
Tm 0.000 0.000 19.554
Sc 0.000 0.000 13.016
In 0.000 0.000 3.339
In 0.000 0.000 9.869
In 0.000 0.000 16.164
In 0.000 0.000 22.693
CELL_PARAMETERS angstrom
2.634 1.521 8.677
-2.634 1.521 8.677
0.000 -3.041 8.677
```

Properties
As for the energy of formation from the pure elements: -0.42 eV per atom. The total energy comes out at -34.3 eV per cell. The space group is R-3m (166).

---

13.
A relaxed structure of PrYSc2In4. Source: Alexandria via LeMat-Bulk, functional GGA-PBE. Values from VASP.

Cell and atoms, written as Quantum ESPRESSO input:
```
&SYSTEM
  ibrav = 0, nat = 8, ntyp = 4
/
ATOMIC_SPECIES
Pr 140.91 Pr.upf
Y 88.91 Y.upf
Sc 44.96 Sc.upf
In 114.82 In.upf
ATOMIC_POSITIONS angstrom
Pr 0.000 0.000 0.000
Y 0.000 0.000 12.870
Sc 0.000 0.000 6.428
Sc 0.000 0.000 19.312
In 0.000 0.000 3.263
In 0.000 0.000 9.701
In 0.000 0.000 16.039
In 0.000 0.000 22.477
CELL_PARAMETERS angstrom
2.619 1.512 8.580
-2.619 1.512 8.580
0.000 -3.024 8.580
```

Properties
As for the energy of formation from the pure elements: -0.43 eV per atom. The total energy comes out at -38.3 eV per cell. The space group is R-3m (166).

---

14.
A relaxed structure of PrY2ScIn4. Source: Alexandria via LeMat-Bulk, functional GGA-PBE. Values from VASP.

Cell and atoms, written as Quantum ESPRESSO input:
```
&SYSTEM
  ibrav = 0, nat = 8, ntyp = 4
/
ATOMIC_SPECIES
Pr 140.91 Pr.upf
Y 88.91 Y.upf
Sc 44.96 Sc.upf
In 114.82 In.upf
ATOMIC_POSITIONS angstrom
Pr 0.000 0.000 0.000
Y 0.000 0.000 6.508
Y 0.000 0.000 19.656
Sc 0.000 0.000 13.082
In 0.000 0.000 3.351
In 0.000 0.000 9.907
In 0.000 0.000 16.256
In 0.000 0.000 22.813
CELL_PARAMETERS angstrom
2.650 1.530 8.721
-2.650 1.530 8.721
0.000 -3.060 8.721
```

Properties
As for the energy of formation from the pure elements: -0.46 eV per atom. The total energy comes out at -38.6 eV per cell. The space group is R-3m (166).

---

15.
A relaxed structure of Pr3InSe2. Source: Alexandria via LeMat-Bulk, functional GGA-PBE. Values from VASP.

Cell and atoms, written as Quantum ESPRESSO input:
```
&SYSTEM
  ibrav = 0, nat = 6, ntyp = 3
/
ATOMIC_SPECIES
Pr 140.91 Pr.upf
In 114.82 In.upf
Se 78.96 Se.upf
ATOMIC_POSITIONS angstrom
Pr 0.000 0.000 0.000
Pr 0.000 0.000 4.336
Pr 0.000 0.000 9.119
In 0.000 3.093 0.000
Se 2.123 0.000 2.205
Se 0.000 3.093 4.522
CELL_PARAMETERS angstrom
-2.123 3.093 6.727
2.123 -3.093 6.727
2.123 3.093 -6.727
```

Properties
The total energy comes out at -32.3 eV per cell. The uncorrected formation energy is -132.6 kJ/mol of atoms. The space group is Immm (71).

---

16.
A relaxed structure of Pr3InSe. Source: Alexandria via LeMat-Bulk, functional GGA-PBE. Values from VASP.

Cell and atoms, written as Quantum ESPRESSO input:
```
&SYSTEM
  ibrav = 0, nat = 20, ntyp = 3
/
ATOMIC_SPECIES
Pr 140.91 Pr.upf
In 114.82 In.upf
Se 78.96 Se.upf
ATOMIC_POSITIONS angstrom
Pr 0.245 1.054 1.795
Pr 1.463 1.054 8.519
Pr 1.650 3.163 4.662
Pr 3.019 1.054 12.720
Pr 3.207 3.163 0.461
Pr 4.425 3.163 9.853
Pr 4.914 1.054 6.263
Pr 6.132 1.054 15.655
Pr 6.319 3.163 3.397
Pr 7.689 1.054 11.455
Pr 7.876 3.163 7.597
Pr 9.094 3.163 14.321
In 0.964 3.163 11.073
In 3.705 1.054 3.015
In 5.633 3.163 13.101
In 8.375 1.054 5.043
Se 1.622 1.054 15.270
Se 3.048 3.163 7.212
Se 6.291 1.054 8.905
Se 7.717 3.163 0.846
CELL_PARAMETERS angstrom
9.339 0.000 0.000
0.000 4.218 0.000
0.000 0.000 16.116
```

Properties
The total energy comes out at -100.2 eV per cell. The uncorrected formation energy is -86.6 kJ/mol of atoms. The space group is Pnma (62).

---

17.
A relaxed structure of PrInSe2. Source: Alexandria via LeMat-Bulk, functional GGA-PBE. Values from VASP.

Cell and atoms, written as Quantum ESPRESSO input:
```
&SYSTEM
  ibrav = 0, nat = 4, ntyp = 3
/
ATOMIC_SPECIES
Pr 140.91 Pr.upf
In 114.82 In.upf
Se 78.96 Se.upf
ATOMIC_POSITIONS angstrom
Pr 0.000 0.000 0.000
In 0.000 0.000 4.017
Se 0.000 0.000 9.480
Se 0.000 0.000 13.973
CELL_PARAMETERS angstrom
2.159 1.246 7.845
-2.159 1.246 7.845
0.000 -2.493 7.845
```

Properties
The total energy comes out at -19.5 eV per cell. The uncorrected formation energy is -121.5 kJ/mol of atoms. The space group is R3m (160).

---

18.
A relaxed structure of Pr6InSe5. Source: Alexandria via LeMat-Bulk, functional GGA-PBE. Values from VASP.

Cell and atoms, written as Quantum ESPRESSO input:
```
&SYSTEM
  ibrav = 0, nat = 12, ntyp = 3
/
ATOMIC_SPECIES
Pr 140.91 Pr.upf
In 114.82 In.upf
Se 78.96 Se.upf
ATOMIC_POSITIONS angstrom
Pr 0.000 2.196 5.259
Pr 1.210 0.000 1.770
Pr 0.000 -2.196 5.259
Pr 5.021 2.196 1.794
Pr 3.812 0.000 5.283
Pr 5.021 -2.196 1.794
In 3.749 0.000 0.000
Se -1.239 0.000 3.526
Se 3.749 4.310 0.000
Se 2.511 2.121 3.526
Se 2.511 -2.121 3.526
Se 3.749 -4.310 0.000
CELL_PARAMETERS angstrom
3.749 -6.475 0.000
3.749 6.475 0.000
-2.477 0.000 7.053
```

Properties
The total energy comes out at -68.1 eV per cell. The uncorrected formation energy is -154.7 kJ/mol of atoms. The space group is C2/m (12).

---

19.
A relaxed structure of Pr6InSe12. Source: Alexandria via LeMat-Bulk, functional GGA-PBE. Values from VASP.

Cell and atoms, written as Quantum ESPRESSO input:
```
&SYSTEM
  ibrav = 0, nat = 19, ntyp = 3
/
ATOMIC_SPECIES
Pr 140.91 Pr.upf
In 114.82 In.upf
Se 78.96 Se.upf
ATOMIC_POSITIONS angstrom
Pr -4.363 -1.128 6.775
Pr -1.204 -4.342 5.770
Pr -3.158 3.214 5.770
Pr 3.158 -3.214 6.775
Pr 1.204 4.342 6.775
Pr 4.363 1.128 5.770
In 0.000 0.000 6.272
Se -5.375 1.297 5.481
Se -3.811 -4.007 7.064
Se -2.006 -1.498 4.744
Se 1.564 -5.304 5.481
Se -0.294 2.486 4.744
Se -2.300 0.989 7.801
Se 2.300 -0.989 4.744
Se 0.294 -2.486 7.801
Se -1.564 5.304 7.064
Se 2.006 1.498 7.801
Se 3.811 4.007 5.481
Se 5.375 -1.297 7.064
CELL_PARAMETERS angstrom
6.348 3.665 4.182
-6.348 3.665 4.182
0.000 -7.330 4.182
```

Properties
The total energy comes out at -101.1 eV per cell. The uncorrected formation energy is -141.6 kJ/mol of atoms. The space group is R-3 (148).

---

20.
A relaxed structure of PrIn2Se4. Source: Alexandria via LeMat-Bulk, functional GGA-PBE. Values from VASP.

Cell and atoms, written as Quantum ESPRESSO input:
```
&SYSTEM
  ibrav = 0, nat = 7, ntyp = 3
/
ATOMIC_SPECIES
Pr 140.91 Pr.upf
In 114.82 In.upf
Se 78.96 Se.upf
ATOMIC_POSITIONS angstrom
Pr 0.000 0.000 0.000
In 0.000 3.025 3.367
In 3.025 0.000 3.367
Se 1.629 1.629 1.724
Se 1.629 4.420 5.011
Se 4.420 1.629 5.011
Se 4.420 4.420 1.724
CELL_PARAMETERS angstrom
6.049 0.000 0.000
0.000 6.049 0.000
0.000 0.000 6.735
```

Properties
The total energy comes out at -29.8 eV per cell. The uncorrected formation energy is -77.0 kJ/mol of atoms. The space group is P-42m (111).